--- w ---
VASP calculation (PBE+U) on a relaxed Cs2Mn2F crystal.

Size of the total moment in Bohr magnetons per cell: 9.0

abc: 11.208 11.208 11.208
angles: 159.85 159.85 28.64
Sites, in units of the cell vectors:
Cs (0.084, 0.084, 0.000)
Cs (0.916, 0.916, 0.000)
Mn (0.250, 0.750, 0.500)
Mn (0.750, 0.250, 0.500)
F (0.500, 0.500, 0.000)


--- x ---
VASP calculation (PBE+U) on a relaxed Cs2Mn2F crystal.

Size of the total moment in Bohr magnetons per cell: 18.9

abc: 7.691 7.691 7.337
angles: 90.00 90.00 90.00
Sites, in units of the cell vectors:
Cs (0.187, 0.313, 0.000)
Cs (0.313, 0.813, 0.000)
Cs (0.687, 0.187, 0.000)
Cs (0.813, 0.687, 0.000)
Mn (0.143, 0.643, 0.500)
Mn (0.357, 0.143, 0.500)
Mn (0.643, 0.857, 0.500)
Mn (0.857, 0.357, 0.500)
F (0.000, 0.000, 0.000)
F (0.500, 0.500, 0.000)


The energy of each structure relative to the most stable one, in eV/atom, is as follows: w 0.000; x 0.256.


--- w ---
VASP calculation (PBE+U) on a relaxed CsMnN2F crystal.

Size of the total moment in Bohr magnetons per cell: 1.0

abc: 3.940 3.940 5.479
angles: 90.00 90.00 90.00
Sites, in units of the cell vectors:
Cs (0.000, 0.000, 0.000)
Mn (0.500, 0.500, 0.500)
N (0.000, 0.500, 0.500)
N (0.500, 0.000, 0.500)
F (0.500, 0.500, 0.000)


--- x ---
VASP calculation (PBE+U) on a relaxed CsMnN2F crystal.

Size of the total moment in Bohr magnetons per cell: 4.7

abc: 4.401 4.401 4.951
angles: 90.00 90.00 90.00
Sites, in units of the cell vectors:
Cs (0.000, 0.000, 0.000)
Mn (0.500, 0.500, 0.500)
N (0.000, 0.500, 0.000)
N (0.500, 0.000, 0.000)
F (0.000, 0.000, 0.500)


The energy of each structure relative to the most stable one, in eV/atom, is as follows: w 0.000; x 1.652.


--- w ---
VASP calculation (PBE+U) on a relaxed CsMnOF2 crystal.

Size of the total moment in Bohr magnetons per cell: 5.5

abc: 5.228 5.228 4.353
angles: 90.00 90.00 90.00
Sites, in units of the cell vectors:
Cs (0.000, 0.000, 0.000)
Mn (0.500, 0.500, 0.500)
O (0.000, 0.000, 0.500)
F (0.000, 0.500, 0.000)
F (0.500, 0.000, 0.000)


--- x ---
VASP calculation (PBE+U) on a relaxed CsMnOF2 crystal.

Size of the total moment in Bohr magnetons per cell: 4.0

abc: 4.491 4.491 3.864
angles: 90.00 90.00 90.00
Sites, in units of the cell vectors:
Cs (0.000, 0.000, 0.000)
Mn (0.500, 0.500, 0.500)
O (0.500, 0.500, 0.000)
F (0.000, 0.500, 0.500)
F (0.500, 0.000, 0.500)


The energy of each structure relative to the most stable one, in eV/atom, is as follows: w 1.596; x 0.000.


--- w ---
VASP calculation (PBE+U) on a relaxed CsMoF2 crystal.

Size of the total moment in Bohr magnetons per cell: 5.0

abc: 4.886 4.886 4.886
angles: 60.00 60.00 60.00
Sites, in units of the cell vectors:
Cs (0.000, 0.000, 0.000)
Mo (0.500, 0.500, 0.500)
F (0.250, 0.250, 0.250)
F (0.750, 0.750, 0.750)


--- x ---
VASP calculation (PBE+U) on a relaxed CsMoF2 crystal.

Size of the total moment in Bohr magnetons per cell: 4.3

abc: 8.135 8.135 8.135
angles: 28.60 28.60 28.60
Sites, in units of the cell vectors:
Cs (0.000, 0.000, 0.000)
Mo (0.500, 0.500, 0.500)
F (0.410, 0.410, 0.410)
F (0.590, 0.590, 0.590)


The energy of each structure relative to the most stable one, in eV/atom, is as follows: w 0.428; x 0.000.


--- w ---
VASP calculation (PBE+U) on a relaxed Cs2MoF5 crystal.

Size of the total moment in Bohr magnetons per cell: 3.0

abc: 6.790 6.790 4.256
angles: 90.00 90.00 90.00
Sites, in units of the cell vectors:
Cs (0.000, 0.500, 0.000)
Cs (0.500, 0.000, 0.000)
Mo (0.000, 0.000, 0.500)
F (0.000, 0.000, 0.000)
F (0.217, 0.217, 0.500)
F (0.217, 0.783, 0.500)
F (0.783, 0.217, 0.500)
F (0.783, 0.783, 0.500)


--- x ---
VASP calculation (PBE+U) on a relaxed Cs2MoF5 crystal.

Size of the total moment in Bohr magnetons per cell: 3.0

abc: 6.428 6.428 6.428
angles: 114.92 114.92 99.06
Sites, in units of the cell vectors:
Cs (0.000, 0.500, 0.500)
Cs (0.500, 0.000, 0.500)
Mo (0.259, 0.259, 0.000)
F (0.024, 0.024, 0.577)
F (0.024, 0.447, 0.000)
F (0.447, 0.024, 0.000)
F (0.447, 0.447, 0.423)
F (0.499, 0.499, 0.000)


The energy of each structure relative to the most stable one, in eV/atom, is as follows: w 0.000; x 0.141.


--- w ---
VASP calculation (PBE+U) on a relaxed CsMoNF2 crystal.

Size of the total moment in Bohr magnetons per cell: 6.9

abc: 5.324 5.324 4.733
angles: 90.00 90.00 90.00
Sites, in units of the cell vectors:
Cs (0.000, 0.000, 0.000)
Mo (0.500, 0.500, 0.500)
N (0.000, 0.000, 0.500)
F (0.000, 0.500, 0.000)
F (0.500, 0.000, 0.000)


--- x ---
VASP calculation (PBE+U) on a relaxed CsMoNF2 crystal.

Size of the total moment in Bohr magnetons per cell: 2.0

abc: 4.538 4.538 4.026
angles: 90.00 90.00 90.00
Sites, in units of the cell vectors:
Cs (0.000, 0.000, 0.000)
Mo (0.500, 0.500, 0.500)
N (0.500, 0.500, 0.000)
F (0.000, 0.500, 0.500)
F (0.500, 0.000, 0.500)


The energy of each structure relative to the most stable one, in eV/atom, is as follows: w 1.926; x 0.000.


--- w ---
VASP calculation (PBE+U) on a relaxed Cs2NaMoF6 crystal.

Size of the total moment in Bohr magnetons per cell: 6.0

abc: 11.258 11.258 11.258
angles: 33.42 33.42 33.42
Sites, in units of the cell vectors:
Cs (0.128, 0.128, 0.128)
Cs (0.281, 0.281, 0.281)
Cs (0.719, 0.719, 0.719)
Cs (0.872, 0.872, 0.872)
Na (0.403, 0.403, 0.403)
Na (0.597, 0.597, 0.597)
Mo (0.000, 0.000, 0.000)
Mo (0.500, 0.500, 0.500)
F (0.162, 0.608, 0.608)
F (0.192, 0.192, 0.730)
F (0.192, 0.730, 0.192)
F (0.270, 0.808, 0.808)
F (0.392, 0.392, 0.838)
F (0.392, 0.838, 0.392)
F (0.608, 0.162, 0.608)
F (0.608, 0.608, 0.162)
F (0.730, 0.192, 0.192)
F (0.808, 0.270, 0.808)
F (0.808, 0.808, 0.270)
F (0.838, 0.392, 0.392)


--- x ---
VASP calculation (PBE+U) on a relaxed Cs2NaMoF6 crystal.

Size of the total moment in Bohr magnetons per cell: 3.0

abc: 6.379 6.379 6.379
angles: 60.00 60.00 60.00
Sites, in units of the cell vectors:
Cs (0.250, 0.250, 0.250)
Cs (0.750, 0.750, 0.750)
Na (0.000, 0.000, 0.000)
Mo (0.500, 0.500, 0.500)
F (0.265, 0.265, 0.735)
F (0.265, 0.735, 0.265)
F (0.265, 0.735, 0.735)
F (0.735, 0.265, 0.265)
F (0.735, 0.265, 0.735)
F (0.735, 0.735, 0.265)


The energy of each structure relative to the most stable one, in eV/atom, is as follows: w 0.009; x 0.000.